1.
DFT (PBE) results for Al2Cd2Ag5 after structural relaxation.

```
data_Al2Cd2Ag5
_cell_length_a 16.6992
_cell_length_b 2.9528
_cell_length_c 7.1386
_cell_angle_alpha 90.00
_cell_angle_beta 105.71
_cell_angle_gamma 90.00
_symmetry_space_group_name_H-M 'C 1 2/m 1'
_symmetry_Int_Tables_number 12
loop_
_symmetry_equiv_pos_as_xyz
'x,y,z'
'-x,-y,-z'
'-x,y,-z'
'x,-y,z'
'x+1/2,y+1/2,z'
'-x+1/2,-y+1/2,-z'
'-x+1/2,y+1/2,-z'
'x+1/2,-y+1/2,z'
loop_
_atom_site_label
_atom_site_type_symbol
_atom_site_fract_x
_atom_site_fract_y
_atom_site_fract_z
Al1 Al 0.1747 0.0000 0.0271
Cd1 Cd 0.0995 0.5000 0.3499
Ag1 Ag 0.0000 0.0000 0.0000
Ag2 Ag 0.0629 0.0000 0.6806
Ag3 Ag 0.2303 0.0000 0.6715
```

Computed properties:
The crystal system is monoclinic. The value obtained for the energy of formation is 0.225 eV per formula unit. The calculation puts the total energy at -23.35 eV/f.u.



2.
DFT (PBE) results for Al4CdAg15 after structural relaxation.

```
data_Al4CdAg15
_cell_length_a 4.2046
_cell_length_b 4.2046
_cell_length_c 19.7072
_cell_angle_alpha 90.00
_cell_angle_beta 90.00
_cell_angle_gamma 90.00
_symmetry_space_group_name_H-M 'P 4/m m m'
_symmetry_Int_Tables_number 123
_symmetry_space_group_name_Hall '-P 4 2'
loop_
_atom_site_label
_atom_site_type_symbol
_atom_site_fract_x
_atom_site_fract_y
_atom_site_fract_z
Al1 Al 0.0000 0.0000 0.0978
Al2 Al 0.0000 0.0000 0.2965
Cd1 Cd 0.0000 0.0000 0.5000
Ag1 Ag 0.0000 0.5000 0.0000
Ag2 Ag 0.0000 0.5000 0.1968
Ag3 Ag 0.0000 0.5000 0.3938
Ag4 Ag 0.5000 0.5000 0.0983
Ag5 Ag 0.5000 0.5000 0.2951
Ag6 Ag 0.5000 0.5000 0.5000
```

Computed properties:
The crystal system is tetragonal. The value obtained for the energy of formation is -0.802 eV per formula unit. The calculation puts the total energy at -59.46 eV/f.u.



3.
DFT (PBE) results for Al2CdAg after structural relaxation.

```
data_Al2CdAg
_cell_length_a 3.0320
_cell_length_b 3.0320
_cell_length_c 27.8332
_cell_angle_alpha 90.00
_cell_angle_beta 90.00
_cell_angle_gamma 120.00
_symmetry_space_group_name_H-M 'R 3 m'
_symmetry_Int_Tables_number 160
_symmetry_space_group_name_Hall 'R 3 -2"'
loop_
_atom_site_label
_atom_site_type_symbol
_atom_site_fract_x
_atom_site_fract_y
_atom_site_fract_z
Al1 Al 0.0000 0.0000 0.0000
Al2 Al 0.0000 0.0000 0.1759
Cd1 Cd 0.0000 0.0000 0.4215
Ag1 Ag 0.0000 0.0000 0.5878
```

Computed properties:
The crystal system is trigonal. The value obtained for the energy of formation is 0.311 eV per formula unit. The calculation puts the total energy at -10.94 eV/f.u.



4.
DFT (PBE) results for Al2Cd2Ag5 after structural relaxation.

```
data_Al2Cd2Ag5
_cell_length_a 13.8542
_cell_length_b 7.1808
_cell_length_c 7.0177
_cell_angle_alpha 90.00
_cell_angle_beta 90.00
_cell_angle_gamma 90.00
_symmetry_space_group_name_H-M 'C m c e'
_symmetry_Int_Tables_number 64
_symmetry_space_group_name_Hall '-C 2ac 2'
loop_
_atom_site_label
_atom_site_type_symbol
_atom_site_fract_x
_atom_site_fract_y
_atom_site_fract_z
Al1 Al 0.0000 0.1388 0.1363
Cd1 Cd 0.2099 0.0000 0.5000
Ag1 Ag 0.0000 0.0000 0.5000
Ag2 Ag 0.1239 0.1571 0.8354
```

Computed properties:
The crystal system is orthorhombic. The value obtained for the energy of formation is 0.563 eV per formula unit. The calculation puts the total energy at -23.01 eV/f.u.



5.
DFT (PBE) results for AlCdAg2 after structural relaxation.

```
data_AlCdAg2
_cell_length_a 2.9874
_cell_length_b 2.9874
_cell_length_c 8.0864
_cell_angle_alpha 90.00
_cell_angle_beta 90.00
_cell_angle_gamma 90.00
_symmetry_space_group_name_H-M 'P 4/m m m'
_symmetry_Int_Tables_number 123
_symmetry_space_group_name_Hall '-P 4 2'
loop_
_atom_site_label
_atom_site_type_symbol
_atom_site_fract_x
_atom_site_fract_y
_atom_site_fract_z
Al1 Al 0.0000 0.0000 0.0000
Cd1 Cd 0.0000 0.0000 0.5000
Ag1 Ag 0.5000 0.5000 0.2280
```

Computed properties:
The crystal system is tetragonal. The value obtained for the energy of formation is -0.131 eV per formula unit. The calculation puts the total energy at -10.49 eV/f.u.



6.
DFT (PBE) results for Al2CdAg after structural relaxation.

```
data_Al2CdAg
_cell_length_a 4.1767
_cell_length_b 4.1767
_cell_length_c 8.4901
_cell_angle_alpha 90.00
_cell_angle_beta 90.00
_cell_angle_gamma 90.00
_symmetry_space_group_name_H-M 'I 4/m m m'
_symmetry_Int_Tables_number 139
_symmetry_space_group_name_Hall '-I 4 2'
loop_
_atom_site_label
_atom_site_type_symbol
_atom_site_fract_x
_atom_site_fract_y
_atom_site_fract_z
Al1 Al 0.0000 0.5000 0.2500
Cd1 Cd 0.0000 0.0000 0.0000
Ag1 Ag 0.0000 0.0000 0.5000
```

Computed properties:
The crystal system is tetragonal. The value obtained for the energy of formation is 0.376 eV per formula unit. The calculation puts the total energy at -10.88 eV/f.u.



7.
DFT (PBE) results for Al2CdAg after structural relaxation.

```
data_Al2CdAg
_cell_length_a 2.9159
_cell_length_b 2.9159
_cell_length_c 8.6049
_cell_angle_alpha 90.00
_cell_angle_beta 90.00
_cell_angle_gamma 90.00
_symmetry_space_group_name_H-M 'P 4 m m'
_symmetry_Int_Tables_number 99
loop_
_symmetry_equiv_pos_as_xyz
'x,y,z'
'-y,x,z'
'-x,-y,z'
'y,-x,z'
'-x,y,z'
'y,x,z'
'x,-y,z'
'-y,-x,z'
loop_
_atom_site_label
_atom_site_type_symbol
_atom_site_fract_x
_atom_site_fract_y
_atom_site_fract_z
Al1 Al 0.0000 0.0000 0.0000
Al2 Al 0.5000 0.5000 0.2398
Cd1 Cd 0.0000 0.0000 0.5104
Ag1 Ag 0.5000 0.5000 0.7749
```

Computed properties:
The crystal system is tetragonal. The value obtained for the energy of formation is 0.113 eV per formula unit. The calculation puts the total energy at -11.14 eV/f.u.



8.
DFT (PBE) results for AlCd5Ag6 after structural relaxation.

```
data_AlCd5Ag6
_cell_length_a 14.0719
_cell_length_b 7.5902
_cell_length_c 4.4679
_cell_angle_alpha 90.00
_cell_angle_beta 107.57
_cell_angle_gamma 90.00
_symmetry_space_group_name_H-M 'C 1 2/m 1'
_symmetry_Int_Tables_number 12
loop_
_symmetry_equiv_pos_as_xyz
'x,y,z'
'-x,-y,-z'
'-x,y,-z'
'x,-y,z'
'x+1/2,y+1/2,z'
'-x+1/2,-y+1/2,-z'
'-x+1/2,y+1/2,-z'
'x+1/2,-y+1/2,z'
loop_
_atom_site_label
_atom_site_type_symbol
_atom_site_fract_x
_atom_site_fract_y
_atom_site_fract_z
Al1 Al 0.0000 0.0000 0.0000
Cd1 Cd 0.0000 0.5000 0.0000
Cd2 Cd 0.1620 0.5000 0.6615
Cd3 Cd 0.1761 0.0000 0.6754
Ag1 Ag 0.0000 0.2277 0.5000
Ag2 Ag 0.1595 0.2395 0.1586
```

Computed properties:
The crystal system is monoclinic. The value obtained for the energy of formation is -0.526 eV per formula unit. The calculation puts the total energy at -25.95 eV/f.u.



9.
DFT (PBE) results for AlCd2Ag after structural relaxation.

```
data_AlCd2Ag
_cell_length_a 3.0632
_cell_length_b 3.0632
_cell_length_c 29.2327
_cell_angle_alpha 90.00
_cell_angle_beta 90.00
_cell_angle_gamma 120.00
_symmetry_space_group_name_H-M 'R 3 m'
_symmetry_Int_Tables_number 160
_symmetry_space_group_name_Hall 'R 3 -2"'
loop_
_atom_site_label
_atom_site_type_symbol
_atom_site_fract_x
_atom_site_fract_y
_atom_site_fract_z
Al1 Al 0.0000 0.0000 0.0000
Cd1 Cd 0.0000 0.0000 0.2528
Cd2 Cd 0.0000 0.0000 0.4905
Ag1 Ag 0.0000 0.0000 0.7392
```

Computed properties:
The crystal system is trigonal. The value obtained for the energy of formation is -0.002 eV per formula unit. The calculation puts the total energy at -8.43 eV/f.u.



10.
DFT (PBE) results for AlCdAg2 after structural relaxation.

```
data_AlCdAg2
_cell_length_a 9.4957
_cell_length_b 3.0586
_cell_length_c 5.1883
_cell_angle_alpha 90.00
_cell_angle_beta 103.49
_cell_angle_gamma 90.00
_symmetry_space_group_name_H-M 'C 1 2/m 1'
_symmetry_Int_Tables_number 12
loop_
_symmetry_equiv_pos_as_xyz
'x,y,z'
'-x,-y,-z'
'-x,y,-z'
'x,-y,z'
'x+1/2,y+1/2,z'
'-x+1/2,-y+1/2,-z'
'-x+1/2,y+1/2,-z'
'x+1/2,-y+1/2,z'
loop_
_atom_site_label
_atom_site_type_symbol
_atom_site_fract_x
_atom_site_fract_y
_atom_site_fract_z
Al1 Al 0.0000 0.0000 0.0000
Cd1 Cd 0.0000 0.5000 0.5000
Ag1 Ag 0.2390 0.5000 0.2356
```

Computed properties:
The crystal system is monoclinic. The value obtained for the energy of formation is -0.001 eV per formula unit. The calculation puts the total energy at -10.36 eV/f.u.



11.
DFT (PBE) results for AlCdAg2 after structural relaxation.

```
data_AlCdAg2
_cell_length_a 4.4670
_cell_length_b 4.4670
_cell_length_c 13.8935
_cell_angle_alpha 90.00
_cell_angle_beta 90.00
_cell_angle_gamma 120.00
_symmetry_space_group_name_H-M 'R 3 m'
_symmetry_Int_Tables_number 160
_symmetry_space_group_name_Hall 'R 3 -2"'
loop_
_atom_site_label
_atom_site_type_symbol
_atom_site_fract_x
_atom_site_fract_y
_atom_site_fract_z
Al1 Al 0.0000 0.0000 0.0000
Cd1 Cd 0.0000 0.0000 0.1993
Ag1 Ag 0.0000 0.0000 0.4155
Ag2 Ag 0.0000 0.0000 0.6299
```

Computed properties:
The crystal system is trigonal. The value obtained for the energy of formation is 0.207 eV per formula unit. The calculation puts the total energy at -10.15 eV/f.u.



12.
DFT (PBE) results for AlCdAg2 after structural relaxation.

```
data_AlCdAg2
_cell_length_a 2.9231
_cell_length_b 4.5088
_cell_length_c 5.7643
_cell_angle_alpha 90.00
_cell_angle_beta 104.62
_cell_angle_gamma 90.00
_symmetry_space_group_name_H-M 'P 1 m 1'
_symmetry_Int_Tables_number 6
loop_
_symmetry_equiv_pos_as_xyz
'x,y,z'
'x,-y,z'
loop_
_atom_site_label
_atom_site_type_symbol
_atom_site_fract_x
_atom_site_fract_y
_atom_site_fract_z
Al1 Al 0.0000 0.0000 0.0000
Cd1 Cd 0.2074 0.5000 0.3053
Ag1 Ag 0.4350 0.5000 0.8253
Ag2 Ag 0.8119 0.0000 0.5138
```

Computed properties:
The crystal system is monoclinic. The value obtained for the energy of formation is 0.080 eV per formula unit. The calculation puts the total energy at -10.28 eV/f.u.



13.
DFT (PBE) results for AlCd6Ag8 after structural relaxation.

```
data_AlCd6Ag8
_cell_length_a 7.5030
_cell_length_b 7.5030
_cell_length_c 18.0913
_cell_angle_alpha 90.00
_cell_angle_beta 90.00
_cell_angle_gamma 120.00
_symmetry_space_group_name_H-M 'R -3'
_symmetry_Int_Tables_number 148
_symmetry_space_group_name_Hall '-R 3'
loop_
_atom_site_label
_atom_site_type_symbol
_atom_site_fract_x
_atom_site_fract_y
_atom_site_fract_z
Al1 Al 0.0000 0.0000 0.0000
Cd1 Cd 0.0460 0.2579 0.7245
Ag1 Ag 0.0000 0.0000 0.1478
Ag2 Ag 0.0385 0.2455 0.5629
```

Computed properties:
The crystal system is trigonal. The value obtained for the energy of formation is 0.399 eV per formula unit. The calculation puts the total energy at -31.64 eV/f.u.



14.
DFT (PBE) results for Al2CdAg after structural relaxation.

```
data_Al2CdAg
_cell_length_a 9.1977
_cell_length_b 2.9499
_cell_length_c 5.6486
_cell_angle_alpha 90.00
_cell_angle_beta 103.77
_cell_angle_gamma 90.00
_symmetry_space_group_name_H-M 'C 1 2/m 1'
_symmetry_Int_Tables_number 12
loop_
_symmetry_equiv_pos_as_xyz
'x,y,z'
'-x,-y,-z'
'-x,y,-z'
'x,-y,z'
'x+1/2,y+1/2,z'
'-x+1/2,-y+1/2,-z'
'-x+1/2,y+1/2,-z'
'x+1/2,-y+1/2,z'
loop_
_atom_site_label
_atom_site_type_symbol
_atom_site_fract_x
_atom_site_fract_y
_atom_site_fract_z
Al1 Al 0.2454 0.0000 0.2284
Cd1 Cd 0.0000 0.0000 0.5000
Ag1 Ag 0.0000 0.5000 0.0000
```

Computed properties:
The crystal system is monoclinic. The value obtained for the energy of formation is 0.195 eV per formula unit. The calculation puts the total energy at -11.06 eV/f.u.



15.
DFT (PBE) results for Al2CdAg after structural relaxation.

```
data_Al2CdAg
_cell_length_a 6.7435
_cell_length_b 6.7435
_cell_length_c 6.7435
_cell_angle_alpha 90.00
_cell_angle_beta 90.00
_cell_angle_gamma 90.00
_symmetry_space_group_name_H-M 'F -4 3 m'
_symmetry_Int_Tables_number 216
_symmetry_space_group_name_Hall 'F -4 2 3'
loop_
_atom_site_label
_atom_site_type_symbol
_atom_site_fract_x
_atom_site_fract_y
_atom_site_fract_z
Al1 Al 0.0000 0.0000 0.0000
Al2 Al 0.2500 0.2500 0.2500
Cd1 Cd 0.2500 0.2500 0.7500
Ag1 Ag 0.0000 0.0000 0.5000
```

Computed properties:
The crystal system is cubic. The value obtained for the energy of formation is 0.670 eV per formula unit. The calculation puts the total energy at -10.58 eV/f.u.



16.
DFT (PBE) results for AlCdAg after structural relaxation.

```
data_AlCdAg
_cell_length_a 4.5980
_cell_length_b 4.5980
_cell_length_c 3.1491
_cell_angle_alpha 90.00
_cell_angle_beta 90.00
_cell_angle_gamma 120.00
_symmetry_space_group_name_H-M 'P 3 m 1'
_symmetry_Int_Tables_number 156
loop_
_symmetry_equiv_pos_as_xyz
'x,y,z'
'-y,x-y,z'
'-x+y,-x,z'
'-y,-x,z'
'-x+y,y,z'
'x,x-y,z'
loop_
_atom_site_label
_atom_site_type_symbol
_atom_site_fract_x
_atom_site_fract_y
_atom_site_fract_z
Al1 Al 0.0000 0.0000 0.0000
Cd1 Cd 0.3333 0.6667 0.4977
Ag1 Ag 0.6667 0.3333 0.9968
```

Computed properties:
The crystal system is trigonal. The value obtained for the energy of formation is 0.285 eV per formula unit. The calculation puts the total energy at -7.22 eV/f.u.



17.
DFT (PBE) results for AlCdAg2 after structural relaxation.

```
data_AlCdAg2
_cell_length_a 3.0540
_cell_length_b 3.0540
_cell_length_c 27.6421
_cell_angle_alpha 90.00
_cell_angle_beta 90.00
_cell_angle_gamma 120.00
_symmetry_space_group_name_H-M 'R 3 m'
_symmetry_Int_Tables_number 160
_symmetry_space_group_name_Hall 'R 3 -2"'
loop_
_atom_site_label
_atom_site_type_symbol
_atom_site_fract_x
_atom_site_fract_y
_atom_site_fract_z
Al1 Al 0.0000 0.0000 0.0000
Cd1 Cd 0.0000 0.0000 0.7520
Ag1 Ag 0.0000 0.0000 0.2571
Ag2 Ag 0.0000 0.0000 0.5057
```

Computed properties:
The crystal system is trigonal. The value obtained for the energy of formation is 0.049 eV per formula unit. The calculation puts the total energy at -10.31 eV/f.u.



18.
DFT (PBE) results for Al2CdAg after structural relaxation.

```
data_Al2CdAg
_cell_length_a 4.7087
_cell_length_b 4.7087
_cell_length_c 3.4261
_cell_angle_alpha 90.00
_cell_angle_beta 90.00
_cell_angle_gamma 90.00
_symmetry_space_group_name_H-M 'P 4/m m m'
_symmetry_Int_Tables_number 123
_symmetry_space_group_name_Hall '-P 4 2'
loop_
_atom_site_label
_atom_site_type_symbol
_atom_site_fract_x
_atom_site_fract_y
_atom_site_fract_z
Al1 Al 0.0000 0.5000 0.0000
Cd1 Cd 0.0000 0.0000 0.5000
Ag1 Ag 0.5000 0.5000 0.5000
```

Computed properties:
The crystal system is tetragonal. The value obtained for the energy of formation is 0.724 eV per formula unit. The calculation puts the total energy at -10.53 eV/f.u.



19.
DFT (PBE) results for AlCd4Ag after structural relaxation.

```
data_AlCd4Ag
_cell_length_a 8.0991
_cell_length_b 8.0991
_cell_length_c 8.0991
_cell_angle_alpha 90.00
_cell_angle_beta 90.00
_cell_angle_gamma 90.00
_symmetry_space_group_name_H-M 'F -4 3 m'
_symmetry_Int_Tables_number 216
_symmetry_space_group_name_Hall 'F -4 2 3'
loop_
_atom_site_label
_atom_site_type_symbol
_atom_site_fract_x
_atom_site_fract_y
_atom_site_fract_z
Al1 Al 0.0000 0.0000 0.0000
Cd1 Cd 0.1247 0.1247 0.6247
Ag1 Ag 0.2500 0.2500 0.2500
```

Computed properties:
The crystal system is cubic. The value obtained for the energy of formation is 1.315 eV per formula unit. The calculation puts the total energy at -8.94 eV/f.u.



20.
DFT (PBE) results for AlCd2Ag after structural relaxation.

```
data_AlCd2Ag
_cell_length_a 9.6876
_cell_length_b 3.1164
_cell_length_c 5.3087
_cell_angle_alpha 90.00
_cell_angle_beta 100.03
_cell_angle_gamma 90.00
_symmetry_space_group_name_H-M 'C 1 m 1'
_symmetry_Int_Tables_number 8
loop_
_symmetry_equiv_pos_as_xyz
'x,y,z'
'x,-y,z'
'x+1/2,y+1/2,z'
'x+1/2,-y+1/2,z'
loop_
_atom_site_label
_atom_site_type_symbol
_atom_site_fract_x
_atom_site_fract_y
_atom_site_fract_z
Al1 Al 0.0000 0.0000 0.0000
Cd1 Cd 0.2494 0.0000 0.7440
Cd2 Cd 0.4897 0.0000 0.4782
Ag1 Ag 0.2368 0.5000 0.2210
```

Computed properties:
The crystal system is monoclinic. The value obtained for the energy of formation is 0.179 eV per formula unit. The calculation puts the total energy at -8.24 eV/f.u.